# 1
# Cs2SiP2 PBE relaxed
# ΔE_f (raw) = -0.38 eV per atom
# Volume = 43.211 Å³ per atom
# M_tot = 0.0000 μB/atom
data_Cs2SiP2
_space_group_name_H-M_alt 'C 1 2/m 1'
_space_group_IT_number 12
_space_group_name_Hall '-C 2y'
_cell_length_a 15.2729
_cell_length_b 7.0830
_cell_length_c 10.9574
_cell_angle_alpha 90.00
_cell_angle_beta 133.19
_cell_angle_gamma 90.00
loop_
_atom_site_label
_atom_site_type_symbol
_atom_site_fract_x
_atom_site_fract_y
_atom_site_fract_z
Cs1 Cs 0.1270 0.0000 0.4504
Cs2 Cs 0.2292 0.5000 0.8251
Si1 Si 0.0320 0.5000 0.1552
P1 P 0.0764 0.5000 0.3838
P2 P 0.1505 0.5000 0.1027

=====

# 2
# K4HBr2Cl PBE relaxed
# DFT total energy = -3.0120 eV/atom
# Volume = 33.048 Å³ per atom
# M_tot = 0.0041 μB/atom
data_K4HBr2Cl
_space_group_name_H-M_alt 'P 1 2/m 1'
_space_group_IT_number 10
_space_group_name_Hall '-P 2y'
_cell_length_a 7.8474
_cell_length_b 4.5293
_cell_length_c 7.8804
_cell_angle_alpha 90.00
_cell_angle_beta 109.28
_cell_angle_gamma 90.00
loop_
_atom_site_label
_atom_site_type_symbol
_atom_site_fract_x
_atom_site_fract_y
_atom_site_fract_z
K1 K 0.2351 0.0000 0.2276
K2 K 0.2473 0.5000 0.7686
H1 H 0.0000 0.5000 0.0000
Br1 Br 0.0000 0.0000 0.5000
Br2 Br 0.5000 0.5000 0.5000
Cl1 Cl 0.5000 0.0000 0.0000

=====

# 3
# CdBrN PBE relaxed
# ΔE_f (raw) = -0.16 eV per atom
# Volume = 35.639 Å³ per atom
# M_tot = 0.0000 μB/atom
data_CdBrN
_space_group_name_H-M_alt 'C 1 2/m 1'
_space_group_IT_number 12
_space_group_name_Hall '-C 2y'
_cell_length_a 10.0410
_cell_length_b 4.0014
_cell_length_c 10.6446
_cell_angle_alpha 90.00
_cell_angle_beta 90.42
_cell_angle_gamma 90.00
loop_
_atom_site_label
_atom_site_type_symbol
_atom_site_fract_x
_atom_site_fract_y
_atom_site_fract_z
Cd1 Cd 0.1386 0.0000 0.1426
Br1 Br 0.1481 0.0000 0.8434
N1 N 0.0444 0.5000 0.4689